# MgSn3Pd6

An optimized crystal structure of MgSn3Pd6 (PBE, Alexandria via LeMat-Bulk).

Density of states at the Fermi level   7.706 states/eV per cell
Total magnetization   0.000 μB/atom
Final energy   -4.988 eV per atom
Calculated formation energy   -0.51 eV per atom

Cell: 4.151 11.567 9.986 Å, 131.99 90.00 90.00°
Fractional positions:
Sn (0.250, 0.414, 0.557)
Pd (0.250, 0.093, 0.878)
Sn (0.250, 0.542, 0.150)
Pd (0.750, 0.324, 0.999)
Mg (0.250, 0.963, 0.360)
Pd (0.750, 0.907, 0.122)
Sn (0.750, 0.160, 0.115)
Mg (0.750, 0.037, 0.640)
Pd (0.250, 0.380, 0.250)
Pd (0.750, 0.748, 0.252)
Sn (0.250, 0.840, 0.885)
Pd (0.250, 0.252, 0.748)
Sn (0.750, 0.458, 0.850)
Pd (0.250, 0.676, 0.001)
Pd (0.250, 0.813, 0.499)
Pd (0.750, 0.187, 0.501)
Sn (0.750, 0.586, 0.443)
Pd (0.250, 0.124, 0.253)
Pd (0.750, 0.620, 0.750)
Pd (0.750, 0.876, 0.747)